No. 1
A plane-wave DFT calculation with GGA-PBE was carried out for a relaxed structure of ZrAsC.

Output
The value obtained for the formation energy is -0.300 eV/atom. The density of states at the Fermi level comes out at 2.71 states/eV/cell. The mass density comes out at 6.471 Mg/m³. As for the energy above the most stable polymorph in this dataset: 2.25 kJ per mole of atoms. As for the total energy: -46.6 eV for the cell shown.

Unit cell a=3.557 b=3.557 c=7.300 alpha=94.92 beta=94.92 gamma=85.30
Fractional coordinates of all 6 atoms:
Zr 0.200 0.200 0.204
Zr 0.800 0.800 0.796
As 0.281 0.281 0.605
As 0.719 0.719 0.395
C 0.359 0.641 0.000
C 0.641 0.359 0.000

No. 2
A plane-wave DFT calculation with GGA-PBE was carried out for a relaxed structure of Zr3AsC.

Output
The value obtained for the formation energy is -0.797 eV/atom. The density of states at the Fermi level comes out at 12.57 states/eV/cell. The mass density comes out at 6.611 Mg/m³. As for the total energy: -174.0 eV for the cell shown.

Unit cell a=8.041 b=8.041 c=5.705 alpha=94.72 beta=94.72 gamma=98.07
Fractional coordinates of all 20 atoms:
Zr 0.044 0.757 0.940
Zr 0.176 0.573 0.391
Zr 0.243 0.956 0.560
Zr 0.306 0.449 0.886
Zr 0.427 0.824 0.109
Zr 0.449 0.306 0.386
Zr 0.551 0.694 0.614
Zr 0.573 0.176 0.891
Zr 0.694 0.551 0.114
Zr 0.757 0.044 0.440
Zr 0.824 0.427 0.609
Zr 0.956 0.243 0.060
As 0.084 0.246 0.539
As 0.246 0.084 0.039
As 0.754 0.916 0.961
As 0.916 0.754 0.461
C 0.290 0.710 0.750
C 0.434 0.566 0.250
C 0.566 0.434 0.750
C 0.710 0.290 0.250

No. 3
A plane-wave DFT calculation with GGA-PBE was carried out for a relaxed structure of ZrAsC.

Output
The value obtained for the formation energy is -0.282 eV/atom. The density of states at the Fermi level comes out at 2.13 states/eV/cell. The mass density comes out at 5.772 Mg/m³. As for the energy above the most stable polymorph in this dataset: 3.99 kJ per mole of atoms. As for the total energy: -46.5 eV for the cell shown.

Unit cell a=3.383 b=3.857 c=8.597 alpha=94.77 beta=94.27 gamma=112.63
Fractional coordinates of all 6 atoms:
Zr 0.091 0.239 0.358
Zr 0.909 0.761 0.642
As 0.467 0.722 0.905
As 0.533 0.278 0.095
C 0.406 0.830 0.448
C 0.594 0.170 0.552

No. 4
A plane-wave DFT calculation with GGA-PBE was carried out for a relaxed structure of ZrAsC3.

Output
The value obtained for the formation energy is 1.776 eV/atom. The density of states at the Fermi level comes out at 3.37 states/eV/cell. The mass density comes out at 5.674 Mg/m³. As for the energy above the most stable polymorph in this dataset: 0.00 kJ per mole of atoms. As for the total energy: -32.0 eV for the cell shown.

Unit cell a=3.897 b=3.897 c=3.897 alpha=90.00 beta=90.00 gamma=90.00
Fractional coordinates of all 5 atoms:
Zr 0.000 0.000 0.000
As 0.500 0.500 0.500
C 0.000 0.500 0.500
C 0.500 0.000 0.500
C 0.500 0.500 0.000

No. 5
A plane-wave DFT calculation with GGA-PBE was carried out for a relaxed structure of ZrAsC.

Output
The value obtained for the formation energy is -0.284 eV/atom. The density of states at the Fermi level comes out at 2.61 states/eV/cell. The mass density comes out at 5.841 Mg/m³. As for the energy above the most stable polymorph in this dataset: 3.79 kJ per mole of atoms. As for the total energy: -46.5 eV for the cell shown.

Unit cell a=3.577 b=3.577 c=8.198 alpha=100.15 beta=100.15 gamma=83.70
Fractional coordinates of all 6 atoms:
Zr 0.115 0.115 0.323
Zr 0.885 0.885 0.677
As 0.469 0.469 0.849
As 0.531 0.531 0.151
C 0.354 0.646 0.500
C 0.646 0.354 0.500

No. 6
A plane-wave DFT calculation with GGA-PBE was carried out for a relaxed structure of ZrAsC.

Output
The value obtained for the formation energy is -0.292 eV/atom. The density of states at the Fermi level comes out at 2.03 states/eV/cell. The mass density comes out at 6.483 Mg/m³. As for the energy above the most stable polymorph in this dataset: 3.02 kJ per mole of atoms. As for the total energy: -46.6 eV for the cell shown.

Unit cell a=7.858 b=3.506 c=7.818 alpha=77.72 beta=25.84 gamma=76.44
Fractional coordinates of all 6 atoms:
Zr 0.107 0.893 0.107
Zr 0.893 0.107 0.893
As 0.309 0.704 0.296
As 0.704 0.309 0.691
C 0.511 0.789 0.489
C 0.789 0.511 0.211

No. 7
A plane-wave DFT calculation with GGA-PBE was carried out for a relaxed structure of ZrAs2C.

Output
The value obtained for the formation energy is 0.368 eV/atom. The density of states at the Fermi level comes out at 3.46 states/eV/cell. The mass density comes out at 6.027 Mg/m³. As for the total energy: -51.2 eV for the cell shown.

Unit cell a=5.728 b=5.728 c=5.728 alpha=116.24 beta=116.24 gamma=96.64
Fractional coordinates of all 8 atoms:
Zr 0.000 0.000 0.000
Zr 0.750 0.250 0.500
As 0.220 0.625 0.095
As 0.375 0.470 0.595
As 0.530 0.125 0.905
As 0.875 0.780 0.405
C 0.250 0.750 0.500
C 0.500 0.500 0.000

No. 8
A plane-wave DFT calculation with GGA-PBE was carried out for a relaxed structure of ZrAsC.

Output
The value obtained for the formation energy is -0.314 eV/atom. The density of states at the Fermi level comes out at 1.67 states/eV/cell. The mass density comes out at 5.644 Mg/m³. As for the energy above the most stable polymorph in this dataset: 0.86 kJ per mole of atoms. As for the total energy: -46.7 eV for the cell shown.

Unit cell a=3.948 b=3.948 c=8.661 alpha=100.70 beta=100.70 gamma=52.56
Fractional coordinates of all 6 atoms:
Zr 0.000 0.000 0.000
Zr 0.198 0.198 0.693
As 0.743 0.743 0.205
As 0.827 0.827 0.488
C 0.508 0.508 0.808
C 0.695 0.695 0.886

No. 9
A plane-wave DFT calculation with GGA-PBE was carried out for a relaxed structure of CaAs3.

Output
The value obtained for the formation energy is -0.318 eV/atom. The density of states at the Fermi level comes out at 2.23 states/eV/cell. The mass density comes out at 4.727 Mg/m³. As for the total energy: -17.2 eV for the cell shown.

Unit cell a=7.568 b=7.568 c=7.568 alpha=29.50 beta=29.50 gamma=29.50
Fractional coordinates of all 4 atoms:
Ca 0.000 0.000 0.000
As 0.239 0.239 0.239
As 0.500 0.500 0.500
As 0.761 0.761 0.761

No. 10
A plane-wave DFT calculation with GGA-PBE was carried out for a relaxed structure of CaAs3.

Output
The value obtained for the formation energy is -0.229 eV/atom. The density of states at the Fermi level comes out at 2.15 states/eV/cell. The mass density comes out at 5.007 Mg/m³. As for the total energy: -16.9 eV for the cell shown.

Unit cell a=3.903 b=3.903 c=5.799 alpha=90.00 beta=90.00 gamma=96.04
Fractional coordinates of all 4 atoms:
Ca 0.000 0.000 0.000
As 0.000 0.000 0.500
As 0.500 0.500 0.282
As 0.500 0.500 0.718

No. 11
A plane-wave DFT calculation with GGA-PBE was carried out for a relaxed structure of CaAs.

Output
The value obtained for the formation energy is -0.886 eV/atom. The density of states at the Fermi level comes out at 2.39 states/eV/cell. The mass density comes out at 3.828 Mg/m³. As for the total energy: -16.8 eV for the cell shown.

Unit cell a=6.013 b=6.013 c=4.154 alpha=90.00 beta=90.00 gamma=138.36
Fractional coordinates of all 4 atoms:
Ca 0.131 0.869 0.750
Ca 0.869 0.131 0.250
As 0.403 0.597 0.750
As 0.597 0.403 0.250

No. 12
A plane-wave DFT calculation with GGA-PBE was carried out for a relaxed structure of Ca5As.

Output
The value obtained for the formation energy is 0.349 eV/atom. The density of states at the Fermi level comes out at 8.18 states/eV/cell. The mass density comes out at 1.860 Mg/m³. As for the total energy: -12.6 eV for the cell shown.

Unit cell a=6.692 b=6.692 c=6.337 alpha=90.00 beta=90.00 gamma=120.00
Fractional coordinates of all 6 atoms:
Ca 0.000 0.500 0.000
Ca 0.333 0.667 0.500
Ca 0.500 0.000 0.000
Ca 0.500 0.500 0.000
Ca 0.667 0.333 0.500
As 0.000 0.000 0.500

No. 13
A plane-wave DFT calculation with GGA-PBE was carried out for a relaxed structure of CaAs.

Output
The value obtained for the formation energy is -0.972 eV/atom. The density of states at the Fermi level comes out at 1.46 states/eV/cell. The mass density comes out at 3.543 Mg/m³. As for the total energy: -25.8 eV for the cell shown.

Unit cell a=8.884 b=8.884 c=4.317 alpha=90.00 beta=90.00 gamma=151.67
Fractional coordinates of all 6 atoms:
Ca 0.000 0.000 0.000
Ca 0.337 0.663 0.500
Ca 0.663 0.337 0.500
As 0.208 0.792 0.000
As 0.500 0.500 0.500
As 0.792 0.208 0.000

No. 14
A plane-wave DFT calculation with GGA-PBE was carried out for a relaxed structure of CaAs.

Output
The value obtained for the formation energy is -0.404 eV/atom. The density of states at the Fermi level comes out at 12.04 states/eV/cell. The mass density comes out at 2.218 Mg/m³. As for the total energy: -59.7 eV for the cell shown.

Unit cell a=13.191 b=13.191 c=3.959 alpha=90.00 beta=90.00 gamma=90.00
Fractional coordinates of all 16 atoms:
Ca 0.047 0.640 0.000
Ca 0.314 0.392 0.500
Ca 0.360 0.047 0.000
Ca 0.392 0.686 0.500
Ca 0.608 0.314 0.500
Ca 0.640 0.953 0.000
Ca 0.686 0.608 0.500
Ca 0.953 0.360 0.000
As 0.155 0.442 0.000
As 0.197 0.584 0.500
As 0.416 0.197 0.500
As 0.442 0.845 0.000
As 0.558 0.155 0.000
As 0.584 0.803 0.500
As 0.803 0.416 0.500
As 0.845 0.558 0.000

No. 15
A plane-wave DFT calculation with GGA-PBE was carried out for a relaxed structure of CaAs.

Output
The value obtained for the formation energy is -0.823 eV/atom. The density of states at the Fermi level comes out at 1.86 states/eV/cell. The mass density comes out at 3.955 Mg/m³. As for the total energy: -16.6 eV for the cell shown.

Unit cell a=6.205 b=6.205 c=6.205 alpha=140.32 beta=140.32 gamma=57.37
Fractional coordinates of all 4 atoms:
Ca 0.375 0.625 0.750
Ca 0.625 0.375 0.250
As 0.125 0.875 0.250
As 0.875 0.125 0.750

No. 16
A plane-wave DFT calculation with GGA-PBE was carried out for a relaxed structure of Ca2As.

Output
The value obtained for the formation energy is -0.723 eV/atom. The density of states at the Fermi level comes out at 3.93 states/eV/cell. The mass density comes out at 3.287 Mg/m³. As for the energy above the most stable polymorph in this dataset: 21.69 kJ per mole of atoms. As for the total energy: -21.6 eV for the cell shown.

Unit cell a=5.227 b=5.227 c=6.623 alpha=90.00 beta=90.00 gamma=120.00
Fractional coordinates of all 6 atoms:
Ca 0.000 0.000 0.000
Ca 0.000 0.000 0.500
Ca 0.333 0.667 0.250
Ca 0.667 0.333 0.750
As 0.333 0.667 0.750
As 0.667 0.333 0.250

No. 17
A plane-wave DFT calculation with GGA-PBE was carried out for a relaxed structure of Ca5As3.

Output
The value obtained for the formation energy is -1.115 eV/atom. The density of states at the Fermi level comes out at 1.66 states/eV/cell. The mass density comes out at 3.300 Mg/m³. As for the energy above the most stable polymorph in this dataset: 0.00 kJ per mole of atoms. As for the total energy: -65.7 eV for the cell shown.

Unit cell a=8.526 b=8.526 c=6.797 alpha=90.00 beta=90.00 gamma=120.00
Fractional coordinates of all 16 atoms:
Ca 0.000 0.254 0.250
Ca 0.000 0.746 0.750
Ca 0.254 0.000 0.250
Ca 0.254 0.254 0.750
Ca 0.333 0.667 0.000
Ca 0.333 0.667 0.500
Ca 0.667 0.333 0.000
Ca 0.667 0.333 0.500
Ca 0.746 0.000 0.750
Ca 0.746 0.746 0.250
As 0.000 0.390 0.750
As 0.000 0.610 0.250
As 0.390 0.000 0.750
As 0.390 0.390 0.250
As 0.610 0.000 0.250
As 0.610 0.610 0.750

No. 18
A plane-wave DFT calculation with GGA-PBE was carried out for a relaxed structure of Ca2As.

Output
The value obtained for the formation energy is -0.718 eV/atom. The density of states at the Fermi level comes out at 1.65 states/eV/cell. The mass density comes out at 3.130 Mg/m³. As for the energy above the most stable polymorph in this dataset: 22.12 kJ per mole of atoms. As for the total energy: -21.6 eV for the cell shown.

Unit cell a=8.154 b=8.154 c=5.111 alpha=90.00 beta=90.00 gamma=151.03
Fractional coordinates of all 6 atoms:
Ca 0.064 0.936 0.750
Ca 0.227 0.773 0.250
Ca 0.773 0.227 0.750
Ca 0.936 0.064 0.250
As 0.405 0.595 0.750
As 0.595 0.405 0.250

No. 19
A plane-wave DFT calculation with GGA-PBE was carried out for a relaxed structure of Ca2As.

Output
The value obtained for the formation energy is -0.788 eV/atom. The density of states at the Fermi level comes out at 1.28 states/eV/cell. The mass density comes out at 2.853 Mg/m³. As for the energy above the most stable polymorph in this dataset: 15.38 kJ per mole of atoms. As for the total energy: -11.0 eV for the cell shown.

Unit cell a=4.857 b=4.857 c=3.825 alpha=90.00 beta=90.00 gamma=90.00
Fractional coordinates of all 3 atoms:
Ca 0.000 0.500 0.000
Ca 0.500 0.000 0.000
As 0.000 0.000 0.500

No. 20
A plane-wave DFT calculation with GGA-PBE was carried out for a relaxed structure of CaAs.

Output
The value obtained for the formation energy is -0.929 eV/atom. The density of states at the Fermi level comes out at 1.56 states/eV/cell. The mass density comes out at 3.601 Mg/m³. As for the total energy: -25.5 eV for the cell shown.

Unit cell a=5.758 b=5.758 c=7.701 alpha=100.80 beta=100.80 gamma=39.48
Fractional coordinates of all 6 atoms:
Ca 0.000 0.000 0.000
Ca 0.655 0.655 0.679
Ca 0.813 0.813 0.335
As 0.095 0.095 0.371
As 0.276 0.276 0.978
As 0.386 0.386 0.722